NiSbO2 | PBE+U | relaxed

E: -0.344 Ry per atom
crystal system: trigonal
density of states at the Fermi level: 0.4633 states/eV/atom

Lattice parameters (Å, degrees): 3.5047 3.5047 17.8590 90.00 90.00 120.00
Space group R-3m (No. 166, hexagonal axes)
Inequivalent atoms, fractional coordinates:
1 Ni 0.0000 0.0000 0.0000 [3 per cell]
2 Sb 0.0000 0.0000 0.5000 [3 per cell]
3 O 0.0000 0.0000 0.1053 [6 per cell]